No. 1
Crystalline Li2FePb at its relaxed geometry. Source: the Alexandria database, functional GGA-PBEsol.

Geometry as POSCAR:
```
Li2FePb
1.0
3.308 0.000 0.000
0.000 3.308 0.000
0.000 0.000 5.968
Li Fe Pb
2 1 1
Direct
0.000 0.000 0.222
0.000 0.000 0.778
0.500 0.500 0.000
0.500 0.500 0.500
```

Properties
The density of states at the Fermi level comes out at 2.97 states/eV/cell. For the total magnetization, the calculation gives 2.7 μB per formula unit. The value obtained for the formation enthalpy at 0 K is 268 meV/atom. As for the space-group type: No. 123.

=====

No. 2
Crystalline LiFePb at its relaxed geometry. Source: the Alexandria database, functional GGA-PBEsol.

Geometry as POSCAR:
```
LiFePb
1.0
3.096 0.000 0.000
-1.548 2.682 0.000
0.000 0.000 6.876
Li Fe Pb
1 1 1
Direct
0.000 0.000 0.000
0.333 0.667 0.310
0.667 0.333 0.633
```

Properties
The density of states at the Fermi level comes out at 1.88 states/eV/cell. For the total magnetization, the calculation gives 2.7 μB per formula unit. The value obtained for the formation enthalpy at 0 K is 500 meV/atom. As for the space-group type: No. 156.

=====

No. 3
Crystalline LiFePb3 at its relaxed geometry. Source: the Alexandria database, functional GGA-PBEsol.

Geometry as POSCAR:
```
LiFePb3
1.0
5.128 0.000 0.000
0.000 5.128 0.000
0.000 0.000 5.128
Li Fe Pb
1 1 3
Direct
0.000 0.000 0.000
0.500 0.500 0.500
0.000 0.500 0.500
0.500 0.000 0.500
0.500 0.500 0.000
```

Properties
The density of states at the Fermi level comes out at 2.07 states/eV/cell. For the total magnetization, the calculation gives 2.6 μB per formula unit. As for the energy above the lowest structure with this stoichiometry: 0 meV per atom. The value obtained for the formation enthalpy at 0 K is 244 meV/atom. As for the space-group type: No. 221.

=====

- Which formula does entry 3 have?
  LiFePb3